[1]
A relaxed AlZn3Mo crystal. Source: the Alexandria database, functional PBE-GGA.

Unit cell a=4.6715 b=4.6715 c=4.6715 alpha=90.00 beta=90.00 gamma=90.00
Each line ends with the local moment (μB).
Atoms (fractional coordinates):
Al: 0.0000 0.0000 0.0000  0.02
Mo: 0.5000 0.5000 0.5000  3.00
Zn: 0.0000 0.5000 0.0000  -0.03
Zn: 0.0000 0.0000 0.5000  -0.04
Zn: 0.5000 0.0000 0.0000  -0.04

Results
Energy above the lowest structure with this stoichiometry = 56 meV per atom
DFT formation energy = 1.1333 eV per atom
E_tot = -0.1871 Ry/atom
V = 20.4 Å³ per atom



[2]
A relaxed Hf2NpP3 crystal. Source: the Alexandria database, functional PBE-GGA.

Unit cell a=5.3213 b=5.3443 c=8.4459 alpha=108.44 beta=90.00 gamma=90.00
Each line ends with the local moment (μB).
Atoms (fractional coordinates):
P: 0.5000 0.0000 0.0000  0.01
P: 0.0000 0.1628 0.3255  -0.06
P: 0.5000 0.3339 0.6677  -0.04
P: 0.5000 0.6661 0.3323  -0.04
P: 0.0000 0.5000 0.0000  -0.04
P: 0.0000 0.8372 0.6745  -0.06
Hf: 0.5000 0.1646 0.3292  0.07
Hf: 0.0000 0.0000 0.0000  0.01
Hf: 0.5000 0.8354 0.6708  0.07
Hf: 0.5000 0.5000 0.0000  0.04
Np: 0.0000 0.6671 0.3343  3.39
Np: 0.0000 0.3329 0.6657  3.39

Results
DFT formation energy = -1.1389 eV per atom
E_tot = -0.6849 Ry/atom
V = 19.0 Å³ per atom



[3]
A relaxed Sc2ReHg crystal. Source: the Alexandria database, functional PBE-GGA.

Unit cell a=2.9895 b=2.9895 c=8.9875 alpha=90.00 beta=90.00 gamma=90.00
Each line ends with the local moment (μB).
Atoms (fractional coordinates):
Sc: 0.5000 0.5000 0.2699  0.09
Sc: 0.0000 0.0000 0.9665  0.00
Re: 0.5000 0.5000 0.7492  -0.02
Hg: 0.0000 0.0000 0.5143  0.00

Results
DFT formation energy = 0.2570 eV per atom
E_tot = -0.4481 Ry/atom
V = 20.1 Å³ per atom



[4]
A relaxed HfCu2SiAg crystal. Source: the Alexandria database, functional PBE-GGA.

Unit cell a=4.8269 b=5.2508 c=4.8269 alpha=90.00 beta=90.00 gamma=90.00
Atoms (fractional coordinates):
Cu: 0.5000 0.0000 0.0000
Cu: 0.0000 0.0000 0.5000
Hf: 0.0000 0.0000 0.0000
Ag: 0.0000 0.5000 0.0000
Si: 0.5000 0.5000 0.5000

Results
ΔE_f (raw) = 1.5233 eV per atom
E_tot = -0.2764 Ry/atom
V = 24.5 Å³ per atom



[5]
A relaxed AcSeO3 crystal. Source: the Alexandria database, functional PBE-GGA.

Unit cell a=10.1125 b=10.1125 c=10.1125 alpha=114.79 beta=114.79 gamma=114.79
Atoms (fractional coordinates):
Ac: 0.8492 0.7559 0.2194
Ac: 0.2441 0.7806 0.1508
Ac: 0.7559 0.2194 0.8492
Ac: 0.7806 0.1508 0.2441
Ac: 0.1508 0.2441 0.7806
Ac: 0.2194 0.8492 0.7559
Se: 0.6260 0.7176 0.4187
Se: 0.5813 0.3740 0.2824
Se: 0.7176 0.4187 0.6260
Se: 0.2824 0.5813 0.3740
Se: 0.4187 0.6260 0.7176
Se: 0.3740 0.2824 0.5813
O: 0.2192 0.0170 0.3781
O: 0.9859 0.1063 0.4359
O: 0.8937 0.5641 0.0141
O: 0.3781 0.2192 0.0170
O: 0.6616 0.1998 0.5499
O: 0.6219 0.7808 0.9830
O: 0.7808 0.9830 0.6219
O: 0.9830 0.6219 0.7808
O: 0.0170 0.3781 0.2192
O: 0.5499 0.6616 0.1998
O: 0.4501 0.3384 0.8002
O: 0.0141 0.8937 0.5641
O: 0.4359 0.9859 0.1063
O: 0.8002 0.4501 0.3384
O: 0.5641 0.0141 0.8937
O: 0.1998 0.5499 0.6616
O: 0.3384 0.8002 0.4501
O: 0.1063 0.4359 0.9859

Results
ΔE_f (raw) = -1.9568 eV per atom
E_tot = -0.4741 Ry/atom
V = 19.7 Å³ per atom



[6]
A relaxed Tb2PmPb2 crystal. Source: the Alexandria database, functional PBE-GGA.

Unit cell a=4.9554 b=6.6201 c=9.8175 alpha=90.00 beta=104.62 gamma=90.00
Atoms (fractional coordinates):
Tb: 0.1858 0.9760 0.3717
Tb: 0.8142 0.4760 0.6283
Tb: 0.9996 0.7275 0.9992
Tb: 0.0004 0.2275 0.0008
Pb: 0.2038 0.4754 0.4077
Pb: 0.4258 0.4775 0.8515
Pb: 0.5742 0.9775 0.1485
Pb: 0.7962 0.9754 0.5923
Pm: 0.6075 0.4780 0.2150
Pm: 0.3925 0.9780 0.7850

Results
DFT formation energy = -0.4498 eV per atom
E_tot = -0.3480 Ry/atom
V = 31.2 Å³ per atom



[7]
A relaxed NaYH2Se crystal. Source: the Alexandria database, functional PBE-GGA.

Unit cell a=4.2863 b=4.2863 c=5.5854 alpha=90.00 beta=90.00 gamma=90.00
Atoms (fractional coordinates):
Y: 0.0000 0.0000 0.0000
Na: 0.5000 0.5000 0.5000
H: 0.5000 0.0000 0.0000
H: 0.0000 0.5000 0.0000
Se: 0.0000 0.0000 0.5000

Results
Energy above the lowest structure with this stoichiometry = 0 meV per atom
E_tot = -0.3225 Ry/atom
V = 20.5 Å³ per atom



[8]
A relaxed PmHo2Sc crystal. Source: the Alexandria database, functional PBE-GGA.

Unit cell a=3.5025 b=3.5025 c=9.8328 alpha=90.00 beta=90.00 gamma=90.00
Atoms (fractional coordinates):
Ho: 0.0000 0.0000 0.2356
Ho: 0.0000 0.0000 0.7644
Sc: 0.5000 0.5000 0.0000
Pm: 0.5000 0.5000 0.5000

Results
Energy above the lowest structure with this stoichiometry = 19 meV per atom
DFT formation energy = 0.0453 eV per atom
E_tot = -0.3685 Ry/atom
V = 30.2 Å³ per atom



[9]
A relaxed LuAl2Os crystal. Source: the Alexandria database, functional PBE-GGA.

Unit cell a=4.5363 b=4.5363 c=4.5366 alpha=60.00 beta=60.00 gamma=60.00
Atoms (fractional coordinates):
Os: 0.0000 0.0000 0.0000
Lu: 0.5000 0.5000 0.5000
Al: 0.2500 0.2500 0.2500
Al: 0.7500 0.7500 0.7500

Results
DFT formation energy = -0.3712 eV per atom
E_tot = -0.4542 Ry/atom
V = 16.5 Å³ per atom



[10]
A relaxed Sm2UGe3Rh4 crystal. Source: the Alexandria database, functional PBE-GGA.

Unit cell a=4.2360 b=4.2360 c=10.8775 alpha=90.00 beta=90.00 gamma=90.00
Each line ends with the local moment (μB).
Atoms (fractional coordinates):
Rh: 0.5000 0.5000 0.0000  0.01
Rh: 0.0000 0.5000 0.3507  -0.06
Rh: 0.0000 0.0000 0.0000  0.01
Rh: 0.5000 0.0000 0.6493  -0.06
Ge: 0.0000 0.0000 0.5000  -0.01
Ge: 0.5000 0.0000 0.8764  0.00
Ge: 0.0000 0.5000 0.1236  0.00
U: 0.5000 0.5000 0.5000  1.78
Sm: 0.0000 0.5000 0.7730  0.05
Sm: 0.5000 0.0000 0.2270  0.05

Results
DFT formation energy = -0.7768 eV per atom
E_tot = -0.5274 Ry/atom
V = 19.5 Å³ per atom



[11]
A relaxed ScCo2Si crystal. Source: the Alexandria database, functional PBE-GGA.

Unit cell a=7.4831 b=7.4831 c=7.4831 alpha=22.86 beta=22.86 gamma=22.86
Atoms (fractional coordinates):
Sc: 0.7500 0.7500 0.7500
Si: 0.2500 0.2500 0.2500
Co: 0.9890 0.9890 0.9890
Co: 0.5110 0.5110 0.5110

Results
ΔE_f (raw) = -0.0486 eV per atom
E_tot = -0.4807 Ry/atom
V = 13.9 Å³ per atom



[12]
A relaxed Tl2PbCl crystal. Source: the Alexandria database, functional PBE-GGA.

Unit cell a=6.5668 b=6.5668 c=5.4281 alpha=85.19 beta=85.19 gamma=31.66
Atoms (fractional coordinates):
Tl: 0.4647 0.4647 0.5008
Tl: 0.0353 0.0353 0.9992
Pb: 0.7500 0.7500 0.7500
Cl: 0.2500 0.2500 0.2500

Results
Energy above the lowest structure with this stoichiometry = 80 meV per atom
ΔE_f (raw) = -0.2748 eV per atom
E_tot = -0.2092 Ry/atom
V = 30.6 Å³ per atom



[13]
A relaxed Re2NiOsI crystal. Source: the Alexandria database, functional PBE-GGA.

Unit cell a=4.7528 b=5.4462 c=4.7528 alpha=90.00 beta=90.00 gamma=90.00
Each line ends with the local moment (μB).
Atoms (fractional coordinates):
Ni: 0.5000 0.5000 0.5000  0.90
Re: 0.0000 0.0000 0.5000  1.38
Re: 0.5000 0.0000 0.0000  1.46
I: 0.0000 0.5000 0.0000  0.11
Os: 0.0000 0.0000 0.0000  -0.12

Results
ΔE_f (raw) = 2.4205 eV per atom
E_tot = -0.4609 Ry/atom
V = 24.6 Å³ per atom



[14]
A relaxed NaPuBe2O6 crystal. Source: the Alexandria database, functional PBE-GGA.

Unit cell a=5.5086 b=6.8285 c=6.8285 alpha=85.76 beta=74.78 gamma=74.78
Each line ends with the local moment (μB).
Atoms (fractional coordinates):
Na: 0.2500 0.9139 0.0861  0.00
Na: 0.7500 0.0861 0.9139  0.00
O: 0.7839 0.0088 0.2531  -0.07
O: 0.2161 0.9912 0.7469  -0.07
O: 0.8843 0.3808 0.8034  -0.06
O: 0.2839 0.2531 0.0088  -0.07
O: 0.3843 0.8034 0.3808  -0.06
O: 0.6157 0.1966 0.6192  -0.06
O: 0.8186 0.3885 0.2902  -0.04
O: 0.6814 0.7098 0.6115  -0.04
O: 0.3186 0.2902 0.3885  -0.04
O: 0.7161 0.7469 0.9912  -0.07
O: 0.1157 0.6192 0.1966  -0.06
O: 0.1814 0.6115 0.7098  -0.04
Be: 0.6421 0.2250 0.3637  0.00
Be: 0.1421 0.3637 0.2250  0.00
Be: 0.8579 0.6363 0.7750  0.00
Be: 0.3579 0.7750 0.6363  0.00
Pu: 0.7500 0.7148 0.2852  1.38
Pu: 0.2500 0.2852 0.7148  1.38

Results
ΔE_f (raw) = -2.2943 eV per atom
E_tot = -0.5571 Ry/atom
V = 12.0 Å³ per atom



[15]
A relaxed CaSiS2F crystal. Source: the Alexandria database, functional PBE-GGA.

Unit cell a=4.7454 b=3.9042 c=4.7454 alpha=90.00 beta=90.00 gamma=90.00
Atoms (fractional coordinates):
Si: 0.0000 0.0000 0.0000
S: 0.0000 0.0000 0.5000
S: 0.5000 0.0000 0.0000
Ca: 0.5000 0.5000 0.5000
F: 0.0000 0.5000 0.0000

Results
ΔE_f (raw) = -1.4813 eV per atom
E_tot = -0.3669 Ry/atom
V = 17.6 Å³ per atom



[16]
A relaxed TaSi2 crystal. Source: the Alexandria database, functional PBE-GGA.

Unit cell a=5.0417 b=5.0417 c=5.7447 alpha=84.30 beta=84.30 gamma=39.24
Atoms (fractional coordinates):
Ta: 0.9705 0.9705 0.5972
Ta: 0.2560 0.2560 0.9408
Si: 0.3395 0.3395 0.3512
Si: 0.9657 0.9657 0.0648
Si: 0.6189 0.6189 0.2431
Si: 0.6826 0.6826 0.6362

Results
ΔE_f (raw) = -0.1280 eV per atom
E_tot = -0.5655 Ry/atom
V = 15.3 Å³ per atom